# 1
{"formula": "SrAl5", "functional": "PBE-GGA", "state": "optimized geometry", "lattice_angstrom": [[-4.789, -0.604, 3.224], [2.879, -4.697, -1.830], [2.414, 0.076, 3.601]], "species": ["Al", "Al", "Al", "Al", "Al", "Sr"], "frac_coords": [[0.667, 0.667, 0.500], [0.333, 0.500, 0.000], [0.000, 0.333, 0.500], [0.833, 0.500, 0.000], [0.833, 0.000, 0.000], [0.333, 0.000, 0.500]], "crystal_system": "hexagonal", "formation_energy_kcal_per_mol_atoms": -3.1, "magnetic_moment_mub_per_fu": 0.00}

***

# 2
{"formula": "K3C2", "functional": "PBE-GGA", "state": "optimized geometry", "lattice_angstrom": [[2.525, -4.373, 0.000], [2.525, 4.373, 0.000], [0.000, 0.000, 6.620]], "species": ["C", "C", "K", "K", "K"], "frac_coords": [[0.667, 0.333, 0.218], [0.333, 0.667, 0.782], [0.667, 0.333, 0.682], [0.000, 0.000, 0.000], [0.333, 0.667, 0.318]], "de_polymorph_mev_per_atom": 0, "crystal_system": "trigonal", "formation_energy_kcal_per_mol_atoms": 40.1, "magnetic_moment_mub_per_fu": 5.00}

***

# 3
{"formula": "CaNpSb", "functional": "PBE-GGA", "state": "optimized geometry", "lattice_angstrom": [[4.344, 0.000, 0.000], [0.000, 4.344, 0.000], [0.000, 0.000, 8.933]], "species": ["Ca", "Ca", "Sb", "Sb", "Np", "Np"], "frac_coords": [[0.000, 0.500, 0.856], [0.500, 0.000, 0.144], [0.500, 0.000, 0.773], [0.000, 0.500, 0.227], [0.500, 0.500, 0.500], [0.000, 0.000, 0.500]], "formation_energy_uncorrected_kj_per_mol_fu": -131.8, "crystal_system": "tetragonal", "magnetic_moment_mub_per_fu": 4.40}

***

# 4
{"formula": "K6Na14Tl18Hg", "functional": "PBE-GGA", "state": "optimized geometry", "lattice_angstrom": [[10.773, 0.000, 0.000], [0.000, 10.773, 0.000], [0.000, 0.000, 10.773]], "species": ["Tl", "Tl", "Tl", "Tl", "Tl", "Tl", "Tl", "Tl", "Tl", "Tl", "Tl", "Tl", "Tl", "Tl", "Tl", "Tl", "Tl", "Tl", "Na", "Na", "Na", "Na", "Na", "Na", "Na", "Na", "Na", "Na", "Na", "Na", "Na", "Na", "K", "K", "K", "K", "K", "K", "Hg"], "frac_coords": [[0.500, 0.722, 0.500], [0.743, 0.000, 0.156], [0.722, 0.500, 0.500], [0.257, 0.000, 0.844], [0.000, 0.156, 0.257], [0.156, 0.743, 0.000], [0.844, 0.257, 0.000], [0.743, 0.000, 0.844], [0.000, 0.156, 0.743], [0.278, 0.500, 0.500], [0.844, 0.743, 0.000], [0.257, 0.000, 0.156], [0.500, 0.278, 0.500], [0.000, 0.844, 0.257], [0.000, 0.844, 0.743], [0.500, 0.500, 0.722], [0.156, 0.257, 0.000], [0.500, 0.500, 0.278], [0.719, 0.719, 0.281], [0.500, 0.000, 0.334], [0.281, 0.719, 0.719], [0.281, 0.281, 0.281], [0.281, 0.719, 0.281], [0.000, 0.666, 0.500], [0.719, 0.719, 0.719], [0.500, 0.000, 0.666], [0.281, 0.281, 0.719], [0.666, 0.500, 0.000], [0.719, 0.281, 0.281], [0.719, 0.281, 0.719], [0.000, 0.334, 0.500], [0.334, 0.500, 0.000], [0.190, 0.000, 0.500], [0.810, 0.000, 0.500], [0.500, 0.810, 0.000], [0.000, 0.500, 0.810], [0.500, 0.190, 0.000], [0.000, 0.500, 0.190], [0.000, 0.000, 0.000]], "crystal_system": "cubic", "formation_energy_kcal_per_mol_atoms": -2.9, "magnetic_moment_mub_per_fu": 0.00}

***

# 5
{"formula": "TiCu2CN", "functional": "PBE-GGA", "state": "optimized geometry", "lattice_angstrom": [[-3.299, 0.454, 1.221], [-1.066, -4.463, -1.221], [1.031, -1.122, 3.202]], "species": ["Cu", "Cu", "N", "Ti", "C"], "frac_coords": [[0.500, 0.000, 0.000], [0.000, 0.000, 0.500], [0.000, 0.500, 0.000], [0.500, 0.500, 0.500], [0.000, 0.000, 0.000]], "formation_energy_uncorrected_kj_per_mol_fu": 425.2, "crystal_system": "tetragonal", "magnetic_moment_mub_per_fu": 0.00}

***

# 6
{"formula": "La2Hg2I", "functional": "PBE-GGA", "state": "optimized geometry", "lattice_angstrom": [[-1.602, -2.896, 4.901], [5.549, -1.931, 0.672], [3.059, 1.667, 5.553]], "species": ["Hg", "Hg", "I", "La", "La"], "frac_coords": [[0.635, 0.635, 0.730], [0.365, 0.365, 0.270], [0.000, 0.000, 0.000], [0.750, 0.250, 0.500], [0.250, 0.750, 0.500]], "formation_energy_uncorrected_kj_per_mol_fu": -154.1, "de_polymorph_mev_per_atom": 382, "crystal_system": "tetragonal", "magnetic_moment_mub_per_fu": 0.00}

***

# 7
{"formula": "KMg14C", "functional": "PBE-GGA", "state": "optimized geometry", "lattice_angstrom": [[3.090, -6.000, 0.000], [3.090, 6.000, 0.000], [0.000, 0.000, 10.108]], "species": ["Mg", "Mg", "Mg", "Mg", "Mg", "Mg", "Mg", "Mg", "Mg", "Mg", "Mg", "Mg", "Mg", "Mg", "K", "C"], "frac_coords": [[0.651, 0.816, 0.259], [0.663, 0.337, 0.769], [0.822, 0.686, 0.000], [0.168, 0.832, 0.261], [0.184, 0.349, 0.259], [0.317, 0.187, 0.500], [0.834, 0.166, 0.000], [0.651, 0.816, 0.741], [0.314, 0.178, 0.000], [0.184, 0.349, 0.741], [0.663, 0.337, 0.231], [0.322, 0.678, 0.000], [0.813, 0.683, 0.500], [0.168, 0.832, 0.739], [0.811, 0.189, 0.500], [0.436, 0.564, 0.500]], "de_polymorph_mev_per_atom": 0, "crystal_system": "orthorhombic", "formation_energy_kcal_per_mol_atoms": 6.9, "magnetic_moment_mub_per_fu": 0.00}

***

# 8
{"formula": "CePrPbBr", "functional": "PBE-GGA", "state": "optimized geometry", "lattice_angstrom": [[5.495, 0.000, 0.000], [2.747, 4.758, 0.000], [2.747, 1.586, 4.486]], "species": ["Br", "Ce", "Pr", "Pb"], "frac_coords": [[0.750, 0.750, 0.750], [0.000, 0.000, 0.000], [0.500, 0.500, 0.500], [0.250, 0.250, 0.250]], "formation_energy_uncorrected_kj_per_mol_fu": -286.0, "crystal_system": "cubic", "magnetic_moment_mub_per_fu": 1.76}